(a)
A plane-wave DFT calculation with PBE was carried out for a relaxed CaRuAu2 crystal.

a = 5.450 Å, b = 5.450 Å, c = 4.932 Å
α = 65.87°, β = 65.87°, γ = 34.66°
Fractional positions:
Ru: 0.259 0.259 0.158
Ca: 0.504 0.504 0.559
Au: 0.745 0.745 0.697
Au: 0.992 0.992 0.085

Computed properties:
DOS at the Fermi energy = 2.37 states/eV per cell
mass density = 11.803 Mg/m³



(b)
A plane-wave DFT calculation with PBE was carried out for a relaxed CaRuAu2 crystal.

a = 3.564 Å, b = 3.564 Å, c = 6.181 Å
α = 90.00°, β = 90.00°, γ = 90.00°
Fractional positions:
Au: 0.500 0.500 0.241
Ru: 0.500 0.500 0.793
Ca: 0.000 0.000 0.498
Au: 0.000 0.000 0.968

Computed properties:
DOS at the Fermi energy = 2.34 states/eV per cell
mass density = 11.315 Mg/m³



(c)
A plane-wave DFT calculation with PBE was carried out for a relaxed CaRuAu2 crystal.

a = 4.553 Å, b = 4.553 Å, c = 9.608 Å
α = 76.29°, β = 76.29°, γ = 90.00°
Last column: magnetic moment on the atom in μB.
Fractional positions:
Au: 0.699 0.125 0.250  0.03
Ca: 0.500 0.500 0.000  -0.02
Ru: 0.000 0.000 0.000  1.02
Au: 0.875 0.949 0.750  0.04
Ca: 0.250 0.750 0.500  -0.02
Au: 0.375 0.301 0.750  0.04
Au: 0.051 0.625 0.250  0.03
Ru: 0.750 0.250 0.500  0.99

Computed properties:
DOS at the Fermi energy = 10.32 states/eV per cell
mass density = 9.469 Mg/m³



(d)
A plane-wave DFT calculation with PBE was carried out for a relaxed CaRuAu2 crystal.

a = 4.747 Å, b = 4.747 Å, c = 4.747 Å
α = 60.00°, β = 60.00°, γ = 60.00°
Last column: magnetic moment on the atom in μB.
Fractional positions:
Ru: 0.750 0.750 0.750  0.97
Au: 0.250 0.250 0.250  0.00
Au: 0.000 0.000 0.000  0.07
Ca: 0.500 0.500 0.500  0.01

Computed properties:
DOS at the Fermi energy = 7.18 states/eV per cell
mass density = 11.748 Mg/m³



Order from most stable to least stable according to the calculation: (a), (b), (d), (c)